(1)
# PBE TlSn2HgRh, relaxed
# * space group: P4/mmm, No. 123
# * ΔE to the lowest computed polymorph: 0.8994 eV per atom
# * energy of formation: 889.3 meV per atom
data_TlSn2HgRh
_symmetry_space_group_name_H-M 'P 1'
_symmetry_Int_Tables_number 1
_symmetry_space_group_name_Hall 'P 1'
_cell_length_a 5.650
_cell_length_b 5.098
_cell_length_c 5.650
_cell_angle_alpha 90.00
_cell_angle_beta 90.00
_cell_angle_gamma 90.00
loop_
_atom_site_label
_atom_site_type_symbol
_atom_site_fract_x
_atom_site_fract_y
_atom_site_fract_z
Tl1 Tl 0.000 0.000 0.000
Sn1 Sn 0.000 0.000 0.500
Sn2 Sn 0.500 0.000 0.000
Hg1 Hg 0.500 0.500 0.500
Rh1 Rh 0.000 0.500 0.000


(2)
# PBE TlSnHg2Rh, relaxed
# * space group: P4/mmm, No. 123
# * energy of formation: 0.7 meV per atom
data_TlSnHg2Rh
_symmetry_space_group_name_H-M 'P 1'
_symmetry_Int_Tables_number 1
_symmetry_space_group_name_Hall 'P 1'
_cell_length_a 5.326
_cell_length_b 5.326
_cell_length_c 5.014
_cell_angle_alpha 90.00
_cell_angle_beta 90.00
_cell_angle_gamma 90.00
loop_
_atom_site_label
_atom_site_type_symbol
_atom_site_fract_x
_atom_site_fract_y
_atom_site_fract_z
Sn1 Sn 0.000 0.000 0.500
Tl1 Tl 0.500 0.500 0.500
Hg1 Hg 0.000 0.500 0.000
Hg2 Hg 0.500 0.000 0.000
Rh1 Rh 0.000 0.000 0.000


(3)
# PBE TlSn2HgRh, relaxed
# * space group: P4/mmm, No. 123
# * ΔE to the lowest computed polymorph: 0.0000 eV per atom
# * energy of formation: -10.1 meV per atom
data_TlSn2HgRh
_symmetry_space_group_name_H-M 'P 1'
_symmetry_Int_Tables_number 1
_symmetry_space_group_name_Hall 'P 1'
_cell_length_a 5.153
_cell_length_b 5.153
_cell_length_c 5.309
_cell_angle_alpha 90.00
_cell_angle_beta 90.00
_cell_angle_gamma 90.00
loop_
_atom_site_label
_atom_site_type_symbol
_atom_site_fract_x
_atom_site_fract_y
_atom_site_fract_z
Sn1 Sn 0.500 0.000 0.000
Sn2 Sn 0.000 0.500 0.000
Hg1 Hg 0.500 0.500 0.500
Rh1 Rh 0.000 0.000 0.000
Tl1 Tl 0.000 0.000 0.500